Record 1
PBE CaHgPdRh2, relaxed; energy of formation from the pure elements = 0.7245 eV per atom; crystal system = tetragonal
1.0
-1.723 3.727 2.854
-4.542 -2.144 0.058
1.261 -2.561 4.106
Ca Rh Hg Pd
1 2 1 1
direct
0.500 0.500 0.500
0.000 0.000 0.500
0.500 0.000 0.000
0.000 0.000 0.000
0.000 0.500 0.000

***

Record 2
PBE LiTlWS4, relaxed; formation energy without anion corrections = -643 meV per atom; crystal system = orthorhombic
1.0
7.335 0.257 0.000
-2.711 6.821 0.000
0.000 0.000 8.065
S Tl Li W
8 2 2 2
direct
0.192 0.226 0.750
0.234 0.766 0.026
0.226 0.192 0.250
0.766 0.234 0.974
0.234 0.766 0.474
0.774 0.808 0.750
0.766 0.234 0.526
0.808 0.774 0.250
0.500 0.500 0.000
0.500 0.500 0.500
0.871 0.129 0.250
0.129 0.871 0.750
0.871 0.129 0.750
0.129 0.871 0.250

***

Record 3
PBE LaZrTa2, relaxed; energy of formation from the pure elements = 0.4220 eV per atom; energy above the most stable polymorph in this dataset = 216 meV/atom; crystal system = tetragonal
1.0
-2.350 -4.001 1.560
3.041 0.653 3.781
-2.892 3.823 -0.993
Zr La Ta
1 1 2
direct
0.500 0.500 0.000
0.750 0.250 0.500
0.250 0.750 0.500
0.000 0.000 0.000

***

Record 4
PBE Ba2MgTlIn, relaxed; energy of formation from the pure elements = 0.1136 eV per atom; crystal system = tetragonal
1.0
-1.465 4.312 4.926
-3.408 -3.803 2.315
5.122 -2.389 3.614
Ba Tl In Mg
2 1 1 1
direct
0.000 0.000 0.500
0.500 0.000 0.000
0.000 0.500 0.000
0.000 0.000 0.000
0.500 0.500 0.500

***

Record 5
PBE Li2TaHg, relaxed; energy of formation from the pure elements = 0.4171 eV per atom; crystal system = tetragonal
1.0
4.588 -0.037 0.000
0.014 4.589 0.000
-2.301 -2.276 3.253
Li Ta Hg
2 1 1
direct
0.250 0.750 0.500
0.000 0.000 0.000
0.500 0.500 0.000
0.750 0.250 0.500

***

Record 6
PBE SrNiSb2, relaxed; formation energy without anion corrections = -408 meV per atom; crystal system = tetragonal
1.0
-0.223 -3.777 -2.715
2.654 -2.715 3.557
-4.000 -1.233 2.043
Sb Ni Sr
2 1 1
direct
0.500 0.049 0.375
0.000 0.049 0.875
0.500 0.853 0.875
0.000 0.549 0.375

***

Record 7
PBE HfNb2H, relaxed; energy above the most stable polymorph in this dataset = 188 meV/atom; crystal system = cubic
1.0
5.756 0.000 0.000
0.000 5.756 0.000
2.878 2.878 4.075
H Nb Hf
2 4 2
direct
0.250 0.750 0.500
0.500 0.500 0.000
0.875 0.625 0.750
0.375 0.125 0.250
0.375 0.625 0.750
0.375 0.625 0.250
0.000 0.000 0.000
0.750 0.250 0.500

***

Record 8
PBE BaPbF3, relaxed; formation energy without anion corrections = -2311 meV per atom; energy above the most stable polymorph in this dataset = 116 meV/atom; crystal system = cubic
1.0
4.906 0.000 0.000
0.000 4.906 0.000
0.000 0.000 4.906
F Ba Pb
3 1 1
direct
0.000 0.500 0.000
0.000 0.000 0.500
0.500 0.000 0.000
0.500 0.500 0.500
0.000 0.000 0.000

***

Record 9
PBE Ac6OsRu, relaxed; energy of formation from the pure elements = -0.1015 eV per atom; crystal system = trigonal
1.0
-6.653 -1.928 -2.164
-4.599 -3.063 4.702
-6.151 4.647 2.609
Ac Os Ru
6 1 1
direct
0.250 0.911 0.250
0.089 0.411 0.749
0.911 0.589 0.251
0.411 0.750 0.750
0.589 0.250 0.250
0.750 0.089 0.750
0.000 0.000 0.000
0.500 0.500 0.500

***

Record 10
PBE La12Pm5Dy, relaxed; energy of formation from the pure elements = 0.0179 eV per atom; crystal system = monoclinic
1.0
-7.560 6.863 -4.257
-9.858 -3.964 -3.243
-3.580 -0.669 5.284
La Pm Dy
12 5 1
direct
0.168 0.000 0.500
0.832 0.000 0.500
0.497 0.667 0.500
0.329 0.000 0.000
0.836 0.667 0.500
0.997 0.667 0.000
0.003 0.333 0.000
0.671 0.000 0.000
0.164 0.333 0.500
0.665 0.333 0.000
0.335 0.667 0.000
0.503 0.333 0.500
0.166 0.668 0.498
0.500 0.000 0.500
0.667 0.667 0.001
0.834 0.332 0.502
0.333 0.333 0.999
0.000 0.000 0.000

***

Record 11
PBE Dy8Hg3Sb2, relaxed; formation energy without anion corrections = -374 meV per atom; crystal system = monoclinic
1.0
6.786 0.000 0.489
0.000 6.723 0.000
-2.247 -3.362 8.290
Dy Sb Hg
8 2 3
direct
0.840 0.162 0.323
0.262 0.454 0.908
0.160 0.838 0.677
0.365 0.894 0.287
0.738 0.546 0.092
0.635 0.106 0.713
0.365 0.393 0.287
0.635 0.607 0.713
0.765 0.719 0.439
0.235 0.281 0.561
0.500 0.000 0.000
0.000 0.799 0.000
0.000 0.201 0.000

***

Record 12
PBE AsRu2Pb, relaxed; energy of formation from the pure elements = 0.2087 eV per atom; energy above the most stable polymorph in this dataset = 14 meV/atom; crystal system = tetragonal
1.0
3.016 0.000 0.000
0.000 3.016 0.000
0.000 0.000 8.265
Ru As Pb
2 1 1
direct
0.500 0.500 0.247
0.000 0.000 0.040
0.000 0.000 0.422
0.500 0.500 0.791

***

Record 13
PBE AcAlCu, relaxed; energy of formation from the pure elements = -0.2941 eV per atom; energy above the most stable polymorph in this dataset = 0 meV/atom; crystal system = monoclinic
1.0
-2.078 -3.441 -5.073
-0.248 -5.495 3.828
-5.660 2.671 3.468
Ac Cu Al
4 4 4
direct
0.205 0.354 0.409
0.705 0.146 0.909
0.795 0.646 0.591
0.295 0.854 0.091
0.947 0.915 0.318
0.447 0.585 0.818
0.553 0.415 0.182
0.053 0.085 0.682
0.308 0.859 0.580
0.808 0.641 0.080
0.692 0.141 0.420
0.192 0.359 0.920

***

Record 14
PBE Li3CaF, relaxed; formation energy without anion corrections = -792 meV per atom; energy above the most stable polymorph in this dataset = 0 meV/atom; crystal system = cubic
1.0
4.698 0.000 0.000
0.000 4.698 0.000
0.000 0.000 4.698
Li Ca F
3 1 1
direct
0.000 0.000 0.500
0.500 0.000 0.000
0.000 0.500 0.000
0.500 0.500 0.500
0.000 0.000 0.000

***

Record 15
PBE CrRuSe2, relaxed; formation energy without anion corrections = 278 meV per atom; energy above the most stable polymorph in this dataset = 549 meV/atom; crystal system = monoclinic
1.0
3.769 0.000 0.000
0.000 4.292 0.336
0.000 0.379 4.620
Se Ru Cr
2 1 1
direct
0.000 0.540 0.500
0.000 0.960 0.000
0.500 0.750 0.750
0.500 0.250 0.250

***

Record 16
PBE BaCo2Ag, relaxed; energy of formation from the pure elements = 0.8670 eV per atom; crystal system = tetragonal
1.0
-4.550 0.561 -2.754
-1.003 -4.414 -2.849
1.210 0.765 5.153
Ba Ag Co
1 1 2
direct
0.750 0.250 0.500
0.500 0.500 0.000
0.000 0.000 0.000
0.250 0.750 0.500

***

Record 17
PBE TlZnB, relaxed; energy of formation from the pure elements = 0.3037 eV per atom; crystal system = triclinic
1.0
-2.295 2.519 -2.228
-7.007 0.975 5.337
1.609 2.425 1.244
B Tl Zn
2 2 2
direct
0.846 0.190 0.318
0.689 0.211 0.819
0.977 0.861 0.823
0.559 0.540 0.317
0.395 0.079 0.305
0.140 0.322 0.832

***

Record 18
PBE Pr2Sm3Tm5, relaxed; energy of formation from the pure elements = 0.1834 eV per atom; energy above the most stable polymorph in this dataset = 0 meV/atom; crystal system = monoclinic
1.0
8.387 1.647 -3.940
0.317 8.494 -4.000
-1.733 -1.923 10.861
Sm Tm Pr
6 10 4
direct
0.722 0.487 0.257
0.965 0.230 0.743
0.228 0.978 0.956
0.278 0.513 0.743
0.772 0.022 0.044
0.035 0.770 0.257
0.649 0.894 0.267
0.974 0.224 0.447
0.118 0.374 0.267
0.351 0.106 0.733
0.732 0.482 0.963
0.523 0.273 0.546
0.026 0.776 0.553
0.477 0.727 0.454
0.268 0.518 0.037
0.882 0.626 0.733
0.482 0.718 0.748
0.518 0.282 0.252
0.767 0.030 0.748
0.233 0.970 0.252

***

Record 19
PBE NbRhN, relaxed; formation energy without anion corrections = -564 meV per atom; crystal system = orthorhombic
1.0
5.150 0.000 0.000
0.000 2.928 0.000
0.000 0.000 5.037
Rh N Nb
2 2 2
direct
0.750 0.500 0.129
0.250 0.500 0.871
0.000 0.500 0.500
0.500 0.500 0.500
0.750 0.000 0.674
0.250 0.000 0.326

***

Record 20
PBE Ba2PmGa2O6, relaxed; formation energy without anion corrections = -2306 meV per atom; crystal system = trigonal
1.0
-0.647 -5.835 -1.568
3.254 -2.290 -4.593
5.365 -4.272 1.911
Ga O Pm Ba
2 6 1 2
direct
0.406 0.406 0.781
0.594 0.594 0.219
0.251 0.764 0.734
0.236 0.749 0.266
0.749 0.749 0.266
0.764 0.251 0.734
0.251 0.251 0.734
0.749 0.236 0.266
0.000 0.000 0.000
0.794 0.794 0.617
0.206 0.206 0.383

***

Number 1: total energy -3.715 eV/atom, density 7.3 g cm⁻³. Number 2: total energy -5.464 eV/atom, density 4.2 g cm⁻³. Number 3: total energy -8.873 eV/atom, density 11.1 g cm⁻³. Number 4: total energy -1.995 eV/atom, density 4.1 g cm⁻³. Number 5: total energy -3.578 eV/atom, density 9.6 g cm⁻³. Number 6: total energy -4.335 eV/atom, density 5.7 g cm⁻³. Number 7: total energy -8.242 eV/atom, density 9.0 g cm⁻³. Number 8: total energy -4.560 eV/atom, density 5.6 g cm⁻³. Number 9: total energy -5.746 eV/atom, density 8.6 g cm⁻³. Number 10: total energy -4.842 eV/atom, density 6.6 g cm⁻³. Number 11: total energy -3.910 eV/atom, density 9.2 g cm⁻³. Number 12: total energy -6.519 eV/atom, density 10.7 g cm⁻³. Number 13: total energy -4.277 eV/atom, density 7.2 g cm⁻³. Number 14: total energy -2.715 eV/atom, density 1.3 g cm⁻³. Number 15: total energy -6.189 eV/atom, density 7.0 g cm⁻³. Number 16: total energy -3.879 eV/atom, density 7.4 g cm⁻³. Number 17: total energy -3.136 eV/atom, density 8.3 g cm⁻³. Number 18: total energy -4.424 eV/atom, density 7.9 g cm⁻³. Number 19: total energy -9.146 eV/atom, density 9.2 g cm⁻³. Number 20: total energy -6.342 eV/atom, density 5.5 g cm⁻³.